<A>
The following is a PBE-GGA calculation of an optimized crystal structure of VTe3Au, from Alexandria via LeMat-Bulk.

Computed properties:
size of the total moment = 0.000 μB/cell
density of states at the Fermi level = 3.318 states/eV/f.u.

abc: 7.5646 7.5646 5.2426
angles: 90.00 90.00 120.00
Closest atoms and distances in Å follow each position.
Space group P6_3/mmc (No. 194)
Symmetry-distinct sites (fractional):
1 V 0.0000 0.0000 0.0000 x2  2 V 2.62, 6 Te 2.66
2 Te 0.1768 0.3535 0.2500 x6  2 V 2.66
3 Au 0.3333 0.6667 0.7500 x2  6 Te 3.33



<B>
The following is a PBE-GGA calculation of an optimized crystal structure of VTe3Au, from Alexandria via LeMat-Bulk.

Computed properties:
size of the total moment = 2.699 μB/cell
density of states at the Fermi level = 8.164 states/eV/f.u.

abc: 5.4252 5.4252 5.4252
angles: 90.00 90.00 90.00
Closest atoms and distances in Å follow each position.
Space group Pm-3m (No. 221)
Symmetry-distinct sites (fractional):
1 V 0.0000 0.0000 0.0000 x1  12 Te 3.84
2 Te 0.0000 0.5000 0.5000 x3  2 Au 2.71
3 Au 0.5000 0.5000 0.5000 x1  6 Te 2.71



<A> (0.709 eV/atom below the next structure)



<A>
The following is a PBE-GGA calculation of an optimized crystal structure of Te2WAu, from Alexandria via LeMat-Bulk.

Computed properties:
size of the total moment = 0.000 μB/cell
density of states at the Fermi level = 3.265 states/eV/f.u.

abc: 3.2842 3.2842 31.5528
angles: 90.00 90.00 120.00
Closest atoms and distances in Å follow each position.
Space group R3m (No. 160, hexagonal axes)
Symmetry-distinct sites (fractional):
1 Te 0.0000 0.0000 0.0000 x3  3 Au 3.05, 6 Te 3.28
2 Te 0.0000 0.0000 0.2041 x3  3 W 2.71
3 W 0.0000 0.0000 0.4762 x3  3 Te 2.71, 3 Au 2.85
4 Au 0.0000 0.0000 0.7423 x3  3 W 2.85, 3 Te 3.05



<B>
The following is a PBE-GGA calculation of an optimized crystal structure of Te2WAu, from Alexandria via LeMat-Bulk.

Computed properties:
size of the total moment = 0.000 μB/cell
density of states at the Fermi level = 3.324 states/eV/f.u.

abc: 3.5832 3.5832 26.9164
angles: 90.00 90.00 120.00
Closest atoms and distances in Å follow each position.
Space group R-3m (No. 166, hexagonal axes)
Symmetry-distinct sites (fractional):
1 Te 0.0000 0.0000 0.0998 x6  1 Au 2.68, 3 W 2.74
2 W 0.0000 0.0000 0.5000 x3  6 Te 2.74
3 Au 0.0000 0.0000 0.0000 x3  2 Te 2.68



<B> (0.074 eV/atom below the next structure)



<A>
The following is a PBE-GGA calculation of an optimized crystal structure of Te3WAu, from Alexandria via LeMat-Bulk.

Computed properties:
size of the total moment = 0.000 μB/cell
density of states at the Fermi level = 2.573 states/eV/f.u.

abc: 7.5181 7.5181 5.5226
angles: 90.00 90.00 120.00
Closest atoms and distances in Å follow each position.
Space group P6_3/mmc (No. 194)
Symmetry-distinct sites (fractional):
1 Te 0.1822 0.3643 0.2500 x6  2 W 2.74
2 W 0.0000 0.0000 0.0000 x2  6 Te 2.74, 2 W 2.76
3 Au 0.3333 0.6667 0.7500 x2  12 Te 3.39-3.76



<B>
The following is a PBE-GGA calculation of an optimized crystal structure of Te3WAu, from Alexandria via LeMat-Bulk.

Computed properties:
size of the total moment = 0.000 μB/cell
density of states at the Fermi level = 3.949 states/eV/f.u.

abc: 5.2771 5.2771 5.2771
angles: 90.00 90.00 90.00
Closest atoms and distances in Å follow each position.
Space group Pm-3m (No. 221)
Symmetry-distinct sites (fractional):
1 Te 0.0000 0.0000 0.5000 x3  2 W 2.64
2 W 0.0000 0.0000 0.0000 x1  6 Te 2.64
3 Au 0.5000 0.5000 0.5000 x1  12 Te 3.73



<C>
The following is a PBE-GGA calculation of an optimized crystal structure of Te3WAu, from Alexandria via LeMat-Bulk.

Computed properties:
size of the total moment = 2.952 μB/cell
density of states at the Fermi level = 4.409 states/eV/f.u.

abc: 5.3462 5.3462 5.3462
angles: 90.00 90.00 90.00
Closest atoms and distances in Å follow each position.
Space group Pm-3m (No. 221)
Symmetry-distinct sites (fractional):
1 Te 0.0000 0.0000 0.5000 x3  2 Au 2.67
2 W 0.5000 0.5000 0.5000 x1  12 Te 3.78
3 Au 0.0000 0.0000 0.0000 x1  6 Te 2.67



<A> (0.387 eV/atom below the next structure)



<A>
The following is a PBE-GGA calculation of an optimized crystal structure of YTe2Au2, from Alexandria via LeMat-Bulk.

Computed properties:
size of the total moment = 0.000 μB/cell
density of states at the Fermi level = 2.447 states/eV/f.u.

abc: 5.5407 5.5407 8.7090
angles: 90.00 90.00 90.00
Closest atoms and distances in Å follow each position.
Space group I4/mmm (No. 139)
Symmetry-distinct sites (fractional):
1 Y 0.0000 0.0000 0.0000 x2  2 Au 2.98
2 Te 0.0000 0.5000 0.2500 x4  4 Au 2.89
3 Au 0.0000 0.0000 0.3425 x4  1 Au 2.74, 4 Te 2.89, 1 Y 2.98



<B>
The following is a PBE-GGA calculation of an optimized crystal structure of YTe2Au2, from Alexandria via LeMat-Bulk.

Computed properties:
size of the total moment = 0.000 μB/cell
density of states at the Fermi level = 2.131 states/eV/f.u.

abc: 3.9233 3.9233 16.8636
angles: 90.00 90.00 90.00
Closest atoms and distances in Å follow each position.
Space group I4/mmm (No. 139)
Symmetry-distinct sites (fractional):
1 Y 0.0000 0.0000 0.0000 x2  8 Te 3.21
2 Te 0.0000 0.0000 0.4039 x4  4 Y 3.21, 1 Te 3.24, 4 Au 3.25
3 Au 0.0000 0.5000 0.2500 x4  4 Au 2.77



<C>
The following is a PBE-GGA calculation of an optimized crystal structure of YTe2Au2, from Alexandria via LeMat-Bulk.

Computed properties:
size of the total moment = 0.000 μB/cell
density of states at the Fermi level = 2.249 states/eV/f.u.

abc: 7.7676 7.7676 4.0875
angles: 90.00 90.00 90.00
Closest atoms and distances in Å follow each position.
Space group P4/mbm (No. 127)
Symmetry-distinct sites (fractional):
1 Y 0.0000 0.0000 0.0000 x2  4 Au 3.08
2 Te 0.1940 0.3060 0.5000 x4  2 Au 2.87
3 Au 0.1225 0.6225 0.0000 x4  1 Au 2.69, 2 Te 2.87



<B> (0.006 eV/atom below the next structure)